TlRhN2F, optimized geometry, DFT GGA-PBE; offset from the most stable computed form = 0.0 meV/atom; raw formation energy = 330.7 meV/atom
1.0
3.7557 0.0000 0.0000
0.0000 3.7557 0.0000
0.0000 0.0000 6.6081
Tl Rh N F
1 1 2 1
Direct
0.0000 0.0000 0.0000
0.5000 0.5000 0.5000
0.0000 0.5000 0.5000
0.5000 0.0000 0.5000
0.5000 0.5000 0.0000